Entry 1:
CsBaHgF6 | PBE | optimized geometry

Cell lengths 8.176, 8.176, 8.176 Å; angles 118.15, 116.38, 94.82 degrees
Element x y z (fractional)
Cs  0.400  0.150  0.250
Cs  0.600  0.850  0.750
Ba  0.000  0.000  0.500
Ba  0.000  0.500  0.000
Hg  0.000  0.500  0.500
Hg  0.500  0.500  0.000
F  0.134  0.884  0.250
F  0.151  0.401  0.750
F  0.171  0.456  0.359
F  0.171  0.812  0.715
F  0.403  0.188  0.859
F  0.403  0.544  0.215
F  0.597  0.456  0.785
F  0.597  0.812  0.141
F  0.829  0.188  0.285
F  0.829  0.544  0.641
F  0.849  0.599  0.250
F  0.866  0.116  0.750

Values from the calculation:
* theoretical density: 4.84 g/cm³
* symmetry: Imma
* energy: -4.0357 eV per atom
* energy relative to the elements, uncorrected: -236.0 kJ/mol of atoms
* spin magnetization: 2.13 μB per cell

Entry 2:
CsBaHoF6 | PBE | optimized geometry

Cell lengths 8.264, 8.264, 8.264 Å; angles 119.67, 117.37, 92.59 degrees
Element x y z (fractional)
Cs  0.352  0.102  0.250
Cs  0.648  0.898  0.750
Ba  0.000  0.500  0.500
Ba  0.500  0.500  0.000
Ho  0.000  0.000  0.500
Ho  0.000  0.500  0.000
F  0.044  0.339  0.148
F  0.044  0.897  0.705
F  0.066  0.316  0.750
F  0.309  0.103  0.648
F  0.309  0.661  0.205
F  0.371  0.621  0.750
F  0.629  0.379  0.250
F  0.691  0.339  0.795
F  0.691  0.897  0.352
F  0.934  0.684  0.250
F  0.956  0.103  0.295
F  0.956  0.661  0.852

Values from the calculation:
* theoretical density: 4.48 g/cm³
* symmetry: Imma
* energy: -5.7829 eV per atom
* energy relative to the elements, uncorrected: -358.8 kJ/mol of atoms
* spin magnetization: 0.10 μB per cell